Entry 1:
Here is YAs2Pd7 after structural relaxation from the Alexandria database. Energies are from PBE.

Values from the calculation:
Energy of formation from the pure elements (eV/atom): -0.5818
Density of states at the Fermi level (states/eV/f.u.): 5.179
Total magnetic moment (μB/cell): 0.00

Cell lengths 4.1353, 4.1353, 10.5841 Å; angles 101.27, 101.27, 90.00 degrees
Atoms (fractional coordinates):
Y  0.0000  0.0000  0.0000
As  0.6742  0.6742  0.3484
As  0.3258  0.3258  0.6516
Pd  0.1038  0.6038  0.2076
Pd  0.3962  0.8962  0.7924
Pd  0.6038  0.1038  0.2076
Pd  0.5000  0.5000  0.0000
Pd  0.7500  0.2500  0.5000
Pd  0.8962  0.3962  0.7924
Pd  0.2500  0.7500  0.5000

---

Entry 2:
Here is Ni2Te2Pd after structural relaxation from the Alexandria database. Energies are from PBE.

Values from the calculation:
Density of states at the Fermi level (states/eV/f.u.): 3.369
ΔE_f (raw) (meV per atom): -23
Distance to the lowest polymorph of the same formula (kJ per mole of atoms): 11.8
Total magnetic moment (μB/cell): 0.00

Cell lengths 3.5227, 3.5227, 7.7899 Å; angles 76.93, 76.93, 90.00 degrees
Atoms (fractional coordinates):
Ni  0.7500  0.2500  0.5000
Ni  0.2500  0.7500  0.5000
Te  0.3786  0.3786  0.2428
Te  0.6214  0.6214  0.7572
Pd  0.0000  0.0000  0.0000